Arrangement a

VASP calculation (PBE) on a relaxed Cs2RbPPt crystal.

```
Cs2RbPPt
1.0
7.309 0.000 0.000
0.000 7.309 0.000
0.000 0.000 4.476
Cs P Rb Pt
2 1 1 1
direct
0.000 0.500 0.000
0.500 0.000 0.000
0.000 0.000 0.500
0.500 0.500 0.500
0.000 0.000 0.000
```

Properties
The calculation puts the total magnetic moment at 0.0 Bohr magnetons per cell. As for the symmetry: P4/mmm, No. 123. The calculation puts the density of states at the Fermi level at 0.534 states/eV/atom.

Arrangement b

VASP calculation (PBE) on a relaxed Cs2RbPPt crystal.

```
Cs2RbPPt
1.0
-6.017 -0.102 4.099
-3.738 -2.856 -5.558
1.032 -4.100 1.412
Cs P Rb Pt
2 1 1 1
direct
0.000 0.500 0.000
0.500 0.000 0.000
0.000 0.000 0.000
0.500 0.500 0.500
0.000 0.000 0.500
```

Properties
The calculation puts the total magnetic moment at 0.0 Bohr magnetons per cell. As for the symmetry: P4/mmm, No. 123. The calculation puts the density of states at the Fermi level at 0.595 states/eV/atom.

How do the structures above rank in stability at the extremes? arrangement b comes first and arrangement a comes last.